The following is a DFT calculation (GGA-PBE) of a geometry-optimized In2Te2Cl structure.

Energy above the lowest structure with this stoichiometry ... 265 meV/atom
M_tot ... 0.00 Bohr magnetons per cell
Energy relative to the elements, uncorrected ... -0.20 eV per atom

```
data_In2Te2Cl
_chemical_formula_sum 'In4 Te4 Cl2'
_cell_length_a 8.5177
_cell_length_b 8.5177
_cell_length_c 3.9511
_cell_angle_alpha 90.00
_cell_angle_beta 90.00
_cell_angle_gamma 90.00
_symmetry_space_group_name_H-M 'P 1'
_symmetry_Int_Tables_number 1
_symmetry_space_group_name_Hall 'P 1'
loop_
_atom_site_label
_atom_site_fract_x
_atom_site_fract_y
_atom_site_fract_z
In1 0.1523 0.3477 0.0000
In2 0.3477 0.8477 0.0000
In3 0.6523 0.1523 0.0000
In4 0.8477 0.6523 0.0000
Te1 0.1519 0.6519 0.5000
Te2 0.3481 0.1519 0.5000
Te3 0.6519 0.8481 0.5000
Te4 0.8481 0.3481 0.5000
Cl1 0.0000 0.0000 0.5000
Cl2 0.5000 0.5000 0.5000
```